CoHgO3, relaxed, DFT PBE+U; SG = No. 2; calculated total energy = -4.387 eV/atom; total magnetization = 0.60 μB/atom
1.0
-1.292 -2.558 1.935
-0.585 -2.632 -3.926
7.351 -2.244 1.682
Co Hg O
2 2 6
direct
0.749 0.620 0.143
0.251 0.380 0.857
0.245 0.199 0.381
0.755 0.801 0.619
0.261 0.437 0.098
0.845 0.974 0.193
0.727 0.542 0.364
0.273 0.458 0.636
0.155 0.026 0.807
0.739 0.563 0.902

---

CoHgO3, relaxed, DFT PBE+U; SG = No. 148; calculated total energy = -4.485 eV/atom; total magnetization = 0.20 μB/atom
1.0
3.524 -3.092 2.153
0.921 0.275 5.068
-2.088 -4.424 3.245
Co Hg O
2 2 6
direct
0.838 0.838 0.485
0.162 0.162 0.515
0.630 0.630 0.109
0.370 0.370 0.891
0.959 0.560 0.297
0.560 0.184 0.297
0.184 0.959 0.297
0.816 0.041 0.703
0.440 0.816 0.703
0.041 0.440 0.703

---

CoHgO3, relaxed, DFT PBE+U; SG = No. 62; calculated total energy = -4.356 eV/atom; total magnetization = 0.19 μB/atom
1.0
-3.798 -3.038 2.409
0.856 -3.882 -3.548
5.165 -2.929 4.450
Co Hg O
4 4 12
direct
0.500 0.000 0.000
0.000 0.500 0.000
0.500 0.000 0.500
0.000 0.500 0.500
0.005 0.018 0.250
0.495 0.518 0.250
0.505 0.482 0.750
0.995 0.982 0.750
0.689 0.315 0.031
0.811 0.815 0.031
0.072 0.480 0.250
0.428 0.980 0.250
0.689 0.315 0.469
0.811 0.815 0.469
0.189 0.185 0.531
0.311 0.685 0.531
0.572 0.020 0.750
0.928 0.520 0.750
0.189 0.185 0.969
0.311 0.685 0.969

---

Number 2 is which compound? CoHgO3

---

Number 2 is which compound? CoHgO3

---

Which of these has the lowest calculated total energy? number 2